1.
This record from the Alexandria database describes crystalline Fe4SbPd15 at its relaxed geometry. The functional is GGA-PBE.

Lattice parameters (Å, degrees): 3.9437 3.9437 19.4434 90.00 90.00 90.00
Last column: magnetic moment on the atom in μB.
Sites, in units of the cell vectors:
Pd: 0.5000 0.0000 0.1069  0.17
Pd: 0.5000 0.0000 0.8931  0.17
Fe: 0.0000 0.0000 0.4008  -3.33
Pd: 0.0000 0.5000 0.5000  -0.33
Pd: 0.5000 0.5000 0.2050  0.21
Pd: 0.5000 0.0000 0.6962  0.00
Pd: 0.0000 0.5000 0.8931  0.17
Pd: 0.0000 0.5000 0.1069  0.17
Fe: 0.0000 0.0000 0.7930  3.36
Pd: 0.0000 0.5000 0.6962  0.00
Fe: 0.0000 0.0000 0.2070  3.36
Sb: 0.0000 0.0000 0.0000  0.02
Pd: 0.5000 0.5000 0.7950  0.21
Pd: 0.5000 0.0000 0.3038  0.00
Pd: 0.5000 0.5000 0.0000  0.08
Pd: 0.5000 0.5000 0.5980  -0.25
Pd: 0.5000 0.5000 0.4020  -0.25
Pd: 0.0000 0.5000 0.3038  0.00
Pd: 0.5000 0.0000 0.5000  -0.33
Fe: 0.0000 0.0000 0.5992  -3.33

2.
This record from the Alexandria database describes crystalline FeSbPd3 at its relaxed geometry. The functional is GGA-PBE.

Lattice parameters (Å, degrees): 4.6458 4.6458 4.6458 90.00 90.00 90.00
Last column: magnetic moment on the atom in μB.
Sites, in units of the cell vectors:
Fe: 0.0000 0.0000 0.0000  3.12
Pd: 0.0000 0.5000 0.0000  0.31
Sb: 0.5000 0.5000 0.5000  0.01
Pd: 0.0000 0.0000 0.5000  0.49
Pd: 0.5000 0.0000 0.0000  0.12

3.
This record from the Alexandria database describes crystalline FeSb3Pd12 at its relaxed geometry. The functional is GGA-PBE.

Lattice parameters (Å, degrees): 4.0192 4.0192 16.0241 90.00 90.00 90.00
Last column: magnetic moment on the atom in μB.
Sites, in units of the cell vectors:
Pd: 0.0000 0.5000 0.1174  0.14
Sb: 0.0000 0.0000 0.2395  0.00
Pd: 0.0000 0.5000 0.8826  0.14
Pd: 0.0000 0.5000 0.6266  -0.01
Pd: 0.5000 0.0000 0.3734  -0.01
Pd: 0.5000 0.0000 0.1174  0.14
Pd: 0.5000 0.5000 0.5000  0.00
Pd: 0.5000 0.5000 0.2484  0.02
Pd: 0.5000 0.0000 0.6266  -0.01
Fe: 0.0000 0.0000 0.0000  3.37
Pd: 0.5000 0.0000 0.8826  0.14
Sb: 0.0000 0.0000 0.5000  0.00
Pd: 0.5000 0.5000 0.0000  0.24
Sb: 0.0000 0.0000 0.7605  0.00
Pd: 0.5000 0.5000 0.7516  0.02
Pd: 0.0000 0.5000 0.3734  -0.01

4.
This record from the Alexandria database describes crystalline Fe2SbPd at its relaxed geometry. The functional is GGA-PBE.

Lattice parameters (Å, degrees): 3.7832 3.7832 9.7393 78.80 78.80 90.00
Last column: magnetic moment on the atom in μB.
Sites, in units of the cell vectors:
Sb: 0.0000 0.0000 0.0000  -0.03
Pd: 0.5000 0.5000 0.0000  0.04
Fe: 0.8750 0.8905 0.7500  2.60
Sb: 0.7500 0.2500 0.5000  -0.03
Fe: 0.6405 0.1250 0.2500  2.59
Fe: 0.3750 0.3595 0.7500  2.59
Fe: 0.1095 0.6250 0.2500  2.61
Pd: 0.2500 0.7500 0.5000  0.04

5.
This record from the Alexandria database describes crystalline Fe3SbPd at its relaxed geometry. The functional is GGA-PBE.

Lattice parameters (Å, degrees): 4.6528 4.6528 4.6528 90.00 90.00 90.00
Last column: magnetic moment on the atom in μB.
Sites, in units of the cell vectors:
Pd: 0.0000 0.0000 0.0000  0.44
Fe: 0.0000 0.0000 0.5000  3.62
Fe: 0.5000 0.0000 0.0000  2.60
Sb: 0.5000 0.5000 0.5000  0.00
Fe: 0.0000 0.5000 0.0000  3.14

6.
This record from the Alexandria database describes crystalline ScFeSbPd2 at its relaxed geometry. The functional is GGA-PBE.

Lattice parameters (Å, degrees): 4.6897 4.7389 4.6897 90.00 90.00 90.00
Last column: magnetic moment on the atom in μB.
Sites, in units of the cell vectors:
Pd: 0.5000 0.0000 0.0000  0.15
Sc: 0.5000 0.5000 0.5000  -0.01
Fe: 0.0000 0.0000 0.0000  2.47
Sb: 0.0000 0.5000 0.0000  -0.02
Pd: 0.0000 0.0000 0.5000  0.33

| no. | total DFT energy (no corrections) (eV per atom) |
| --- | --- |
| 1 | -5.939 |
| 2 | -5.119 |
| 3 | -5.503 |
| 4 | -6.252 |
| 5 | -5.937 |
| 6 | -5.725 |